An optimized crystal structure of NpBeH4, computed with PBE.

Unit cell a=4.177 b=4.375 c=6.277 alpha=107.15 beta=90.00 gamma=118.51
Atoms (fractional coordinates):
H  0.332  0.087  0.916
H  0.833  0.571  0.872
H  0.738  0.571  0.372
H  0.245  0.913  0.584
H  0.755  0.087  0.416
H  0.167  0.429  0.128
H  0.262  0.429  0.628
H  0.668  0.913  0.084
Be  0.000  0.500  0.500
Be  0.500  0.500  0.000
Np  0.767  0.000  0.750
Np  0.233  0.000  0.250

Values from the calculation:
total DFT energy (no corrections)	-5.091	eV per atom
DOS at the Fermi energy	14.827	states/eV per cell
V	7.9	Å³/atom
magnetic moment	8.0	μB/cell

An optimized crystal structure of Ac3Zn8In3, computed with PBE.

Unit cell a=4.679 b=8.914 c=8.914 alpha=67.08 beta=74.79 gamma=74.79
Atoms (fractional coordinates):
Zn  0.164  0.467  0.205
Zn  0.836  0.533  0.795
Zn  0.655  0.609  0.081
Zn  0.836  0.795  0.533
Zn  0.655  0.081  0.609
Zn  0.345  0.919  0.391
Zn  0.164  0.205  0.467
Zn  0.345  0.391  0.919
In  0.000  0.218  0.782
In  0.000  0.782  0.218
In  0.500  0.000  0.000
Ac  0.803  0.197  0.197
Ac  0.197  0.803  0.803
Ac  0.500  0.500  0.500

Values from the calculation:
total DFT energy (no corrections)	-2.510	eV per atom
DOS at the Fermi energy	7.190	states/eV per cell
V	23.2	Å³/atom
magnetic moment	0.0	μB/cell
ΔH_f (0 K)	-315.2	meV/atom

An optimized crystal structure of Pr4Er3Tl4, computed with PBE.

Unit cell a=3.646 b=9.497 c=11.029 alpha=115.50 beta=99.51 gamma=90.00
Atoms (fractional coordinates):
Tl  0.500  0.780  0.000
Tl  0.500  0.220  0.000
Tl  0.278  0.778  0.556
Tl  0.722  0.222  0.444
Er  0.000  0.500  0.000
Er  0.093  0.093  0.185
Er  0.907  0.907  0.815
Pr  0.339  0.165  0.677
Pr  0.339  0.512  0.677
Pr  0.661  0.488  0.323
Pr  0.661  0.835  0.323

Values from the calculation:
total DFT energy (no corrections)	-4.088	eV per atom
DOS at the Fermi energy	9.969	states/eV per cell
V	30.8	Å³/atom
magnetic moment	0.0	μB/cell
ΔH_f (0 K)	-244.8	meV/atom

An optimized crystal structure of Sc3C, computed with PBE.

Unit cell a=3.182 b=5.892 c=8.205 alpha=90.00 beta=90.00 gamma=90.00
Atoms (fractional coordinates):
Sc  0.000  0.264  0.186
Sc  0.000  0.736  0.186
Sc  0.500  0.236  0.814
Sc  0.500  0.764  0.814
Sc  0.000  0.500  0.514
Sc  0.500  0.000  0.486
C  0.000  0.000  0.698
C  0.500  0.500  0.302

Values from the calculation:
total DFT energy (no corrections)	-7.111	eV per atom
DOS at the Fermi energy	9.904	states/eV per cell
V	19.2	Å³/atom
magnetic moment	1.0	μB/cell
ΔH_f (0 K)	-56.1	meV/atom